A plane-wave DFT calculation with PBE-GGA was carried out for a geometry-optimized MgTaHI2 structure.

Computed properties:
space-group type	No. 123
DFT total energy	-3.48	eV per atom

Unit cell a=5.6887 b=3.5167 c=5.6887 alpha=90.00 beta=90.00 gamma=90.00
Sites, in units of the cell vectors:
I  0.0000  0.0000  0.5000
I  0.5000  0.0000  0.0000
H  0.0000  0.5000  0.0000
Mg  0.0000  0.0000  0.0000
Ta  0.5000  0.5000  0.5000